Compound: Cr3Mo
Source: the Alexandria database
Functional: GGA-PBEsol
Structure: optimized geometry

a b c (Å): 5.8047 5.8047 5.8188
angles (deg): 90.15 90.15 89.64
Fractional coordinates of all 16 atoms:
Cr1 0.0000 0.0000 0.0000
Cr2 0.9998 0.9998 0.4928
Cr3 0.9999 0.5060 0.4929
Cr4 0.0011 0.5064 0.9998
Cr5 0.2494 0.7545 0.2496
Cr6 0.2513 0.7543 0.7430
Cr7 0.5060 0.9999 0.4929
Cr8 0.5064 0.0011 0.9998
Cr9 0.5056 0.5056 0.4948
Cr10 0.7543 0.2513 0.7430
Cr11 0.7545 0.2494 0.2496
Cr12 0.7561 0.7561 0.2483
Mo1 0.2492 0.2492 0.2490
Mo2 0.2490 0.2490 0.7442
Mo3 0.5064 0.5064 0.0004
Mo4 0.7566 0.7566 0.7428

Properties
* calculated volume: 12.25 A^3/atom
* calculated formation energy: 0.09 eV per atom
* final energy: -10.538 eV/atom